Here is a relaxed SrAl2Au2 crystal from Alexandria. Energies are from PBE-GGA.

Lattice parameters (Å, degrees): 4.509 4.509 10.670 90.00 90.00 90.00
Positions (direct):
1 Sr 0.750 0.750 0.750
2 Sr 0.250 0.250 0.250
3 Au 0.250 0.250 0.631
4 Au 0.250 0.750 0.000
5 Au 0.750 0.250 0.000
6 Au 0.750 0.750 0.369
7 Al 0.750 0.750 0.126
8 Al 0.750 0.250 0.500
9 Al 0.250 0.250 0.874
10 Al 0.250 0.750 0.500

magnetic moment	0.0	μB per cell
energy	-3.79	eV per atom
formation energy from the elements	-645	meV/atom

Here is a relaxed SrAl4Au8 crystal from Alexandria. Energies are from PBE-GGA.

Lattice parameters (Å, degrees): 5.564 7.133 7.133 81.25 67.05 67.05
Positions (direct):
1 Sr 0.000 0.000 0.000
2 Al 0.000 0.000 0.500
3 Al 0.500 0.000 0.500
4 Al 0.000 0.500 0.000
5 Al 0.500 0.500 0.000
6 Au 0.000 0.332 0.668
7 Au 0.000 0.668 0.332
8 Au 0.332 0.668 0.668
9 Au 0.668 0.332 0.332
10 Au 0.500 0.778 0.222
11 Au 0.500 0.222 0.778
12 Au 0.278 0.222 0.222
13 Au 0.722 0.778 0.778

magnetic moment	0.0	μB per cell
energy	-3.73	eV per atom
formation energy from the elements	-433	meV/atom

Here is a relaxed SrAl2Au2 crystal from Alexandria. Energies are from PBE-GGA.

Lattice parameters (Å, degrees): 4.367 4.367 6.544 70.51 70.51 90.00
Positions (direct):
1 Sr 0.000 0.000 0.000
2 Au 0.373 0.373 0.253
3 Au 0.627 0.627 0.747
4 Al 0.750 0.250 0.500
5 Al 0.250 0.750 0.500

magnetic moment	0.0	μB per cell
energy	-3.79	eV per atom
formation energy from the elements	-649	meV/atom

Here is a relaxed Sr2TbAl3Au12 crystal from Alexandria. Energies are from PBE-GGA.

Lattice parameters (Å, degrees): 8.074 8.074 8.074 68.93 68.93 68.93
Positions (direct):
1 Sr 0.600 0.600 0.600
2 Sr 0.400 0.400 0.400
3 Tb 0.000 0.000 0.000
4 Al 0.500 0.000 0.000
5 Al 0.000 0.500 0.000
6 Al 0.000 0.000 0.500
7 Au 0.298 0.298 0.838
8 Au 0.853 0.853 0.384
9 Au 0.384 0.853 0.853
10 Au 0.838 0.298 0.298
11 Au 0.853 0.384 0.853
12 Au 0.298 0.838 0.298
13 Au 0.702 0.702 0.162
14 Au 0.147 0.147 0.616
15 Au 0.616 0.147 0.147
16 Au 0.162 0.702 0.702
17 Au 0.147 0.616 0.147
18 Au 0.702 0.162 0.702

magnetic moment	0.0	μB per cell
energy	-3.52	eV per atom
formation energy from the elements	-271	meV/atom

Here is a relaxed SrTbAl2Au5 crystal from Alexandria. Energies are from PBE-GGA.

Lattice parameters (Å, degrees): 4.813 4.813 8.425 90.00 90.00 90.00
Positions (direct):
1 Sr 0.000 0.000 0.500
2 Tb 0.000 0.000 0.000
3 Al 0.500 0.500 0.156
4 Al 0.500 0.500 0.844
5 Au 0.000 0.500 0.248
6 Au 0.500 0.000 0.248
7 Au 0.000 0.500 0.752
8 Au 0.500 0.000 0.752
9 Au 0.500 0.500 0.500

magnetic moment	0.0	μB per cell
energy	-3.92	eV per atom
formation energy from the elements	-571	meV/atom

Here is a relaxed SrTi2AlAu crystal from Alexandria. Energies are from PBE-GGA.

Lattice parameters (Å, degrees): 5.050 4.882 5.050 90.00 90.00 90.00
Positions (direct):
1 Sr 0.500 0.500 0.500
2 Au 0.000 0.500 0.000
3 Al 0.000 0.000 0.000
4 Ti 0.000 0.000 0.500
5 Ti 0.500 0.000 0.000

magnetic moment	3.8	μB per cell
energy	-4.47	eV per atom
formation energy from the elements	431	meV/atom

Here is a relaxed Sr2Al4TlAu3 crystal from Alexandria. Energies are from PBE-GGA.

Lattice parameters (Å, degrees): 4.535 4.535 10.956 90.00 90.00 90.00
Positions (direct):
1 Sr 0.500 0.000 0.244
2 Sr 0.000 0.500 0.756
3 Al 0.500 0.500 0.000
4 Al 0.000 0.000 0.000
5 Al 0.500 0.000 0.646
6 Al 0.000 0.500 0.354
7 Tl 0.500 0.500 0.500
8 Au 0.000 0.000 0.500
9 Au 0.500 0.000 0.878
10 Au 0.000 0.500 0.122

magnetic moment	0.0	μB per cell
energy	-3.57	eV per atom
formation energy from the elements	-512	meV/atom

Here is a relaxed SrTmAl2Au5 crystal from Alexandria. Energies are from PBE-GGA.

Lattice parameters (Å, degrees): 4.914 4.914 8.117 90.00 90.00 90.00
Positions (direct):
1 Sr 0.000 0.000 0.500
2 Tm 0.000 0.000 0.000
3 Al 0.500 0.500 0.163
4 Al 0.500 0.500 0.837
5 Au 0.000 0.500 0.234
6 Au 0.500 0.000 0.234
7 Au 0.000 0.500 0.766
8 Au 0.500 0.000 0.766
9 Au 0.500 0.500 0.500

magnetic moment	0.0	μB per cell
energy	-3.89	eV per atom
formation energy from the elements	-551	meV/atom

Here is a relaxed SrYAl2Au5 crystal from Alexandria. Energies are from PBE-GGA.

Lattice parameters (Å, degrees): 4.807 4.807 8.433 90.00 90.00 90.00
Positions (direct):
1 Sr 0.000 0.000 0.500
2 Y 0.000 0.000 0.000
3 Al 0.500 0.500 0.156
4 Al 0.500 0.500 0.844
5 Au 0.000 0.500 0.248
6 Au 0.500 0.000 0.248
7 Au 0.000 0.500 0.752
8 Au 0.500 0.000 0.752
9 Au 0.500 0.500 0.500

magnetic moment	0.0	μB per cell
energy	-4.13	eV per atom
formation energy from the elements	-569	meV/atom

Here is a relaxed Sr2YAl3Au12 crystal from Alexandria. Energies are from PBE-GGA.

Lattice parameters (Å, degrees): 8.092 8.092 8.092 68.57 68.57 68.57
Positions (direct):
1 Sr 0.600 0.600 0.600
2 Sr 0.400 0.400 0.400
3 Y 0.000 0.000 0.000
4 Al 0.500 0.000 0.000
5 Al 0.000 0.500 0.000
6 Al 0.000 0.000 0.500
7 Au 0.298 0.298 0.838
8 Au 0.854 0.854 0.385
9 Au 0.385 0.854 0.854
10 Au 0.838 0.298 0.298
11 Au 0.854 0.385 0.854
12 Au 0.298 0.838 0.298
13 Au 0.702 0.702 0.162
14 Au 0.146 0.146 0.615
15 Au 0.615 0.146 0.146
16 Au 0.162 0.702 0.702
17 Au 0.146 0.615 0.146
18 Au 0.702 0.162 0.702

magnetic moment	0.0	μB per cell
energy	-3.62	eV per atom
formation energy from the elements	-269	meV/atom

Here is a relaxed Sr2AlZn4Au3 crystal from Alexandria. Energies are from PBE-GGA.

Lattice parameters (Å, degrees): 4.283 4.283 11.730 90.00 90.00 90.00
Positions (direct):
1 Sr 0.500 0.000 0.250
2 Sr 0.000 0.500 0.750
3 Al 0.500 0.500 0.500
4 Zn 0.500 0.500 0.000
5 Zn 0.000 0.000 0.000
6 Zn 0.500 0.000 0.637
7 Zn 0.000 0.500 0.363
8 Au 0.000 0.000 0.500
9 Au 0.500 0.000 0.862
10 Au 0.000 0.500 0.138

magnetic moment	0.0	μB per cell
energy	-2.66	eV per atom
formation energy from the elements	-458	meV/atom

Here is a relaxed Sr2Al3Zn4Au crystal from Alexandria. Energies are from PBE-GGA.

Lattice parameters (Å, degrees): 4.386 4.386 11.039 90.00 90.00 90.00
Positions (direct):
1 Sr 0.500 0.000 0.250
2 Sr 0.000 0.500 0.750
3 Al 0.000 0.000 0.500
4 Al 0.500 0.000 0.872
5 Al 0.000 0.500 0.128
6 Zn 0.500 0.500 0.000
7 Zn 0.000 0.000 0.000
8 Zn 0.500 0.000 0.637
9 Zn 0.000 0.500 0.363
10 Au 0.500 0.500 0.500

magnetic moment	0.0	μB per cell
energy	-2.58	eV per atom
formation energy from the elements	-287	meV/atom

Here is a relaxed SrAlZn4Au2 crystal from Alexandria. Energies are from PBE-GGA.

Lattice parameters (Å, degrees): 4.411 4.411 9.788 76.98 76.98 60.00
Positions (direct):
1 Sr 0.000 0.000 0.000
2 Al 0.500 0.500 0.500
3 Zn 0.405 0.405 0.785
4 Zn 0.872 0.872 0.384
5 Zn 0.128 0.128 0.616
6 Zn 0.595 0.595 0.215
7 Au 0.758 0.758 0.726
8 Au 0.242 0.242 0.274

magnetic moment	0.0	μB per cell
energy	-2.36	eV per atom
formation energy from the elements	-223	meV/atom

Here is a relaxed SrAlZn3Au crystal from Alexandria. Energies are from PBE-GGA.

Lattice parameters (Å, degrees): 5.900 6.576 7.407 116.35 90.00 90.00
Positions (direct):
1 Sr 0.750 0.282 0.563
2 Sr 0.250 0.718 0.437
3 Al 0.250 0.956 0.912
4 Al 0.750 0.044 0.088
5 Zn 0.250 0.149 0.298
6 Zn 0.000 0.310 0.000
7 Zn 0.500 0.690 0.000
8 Zn 0.500 0.310 0.000
9 Zn 0.000 0.690 0.000
10 Zn 0.750 0.851 0.702
11 Au 0.250 0.347 0.694
12 Au 0.750 0.653 0.306

magnetic moment	0.0	μB per cell
energy	-2.24	eV per atom
formation energy from the elements	-149	meV/atom

Here is a relaxed Sr2AlZnAu6 crystal from Alexandria. Energies are from PBE-GGA.

Lattice parameters (Å, degrees): 8.616 5.841 7.101 65.71 51.65 90.00
Positions (direct):
1 Sr 0.291 0.744 0.511
2 Sr 0.709 0.256 0.489
3 Al 0.500 0.500 0.000
4 Zn 0.000 0.000 0.000
5 Au 0.245 0.742 0.022
6 Au 0.755 0.764 0.978
7 Au 0.125 0.249 0.501
8 Au 0.755 0.258 0.978
9 Au 0.245 0.236 0.022
10 Au 0.875 0.751 0.499

magnetic moment	0.0	μB per cell
energy	-3.33	eV per atom
formation energy from the elements	-523	meV/atom

Here is a relaxed Sr2AlZn2Au4 crystal from Alexandria. Energies are from PBE-GGA.

Lattice parameters (Å, degrees): 6.502 6.502 6.502 96.93 116.08 116.08
Positions (direct):
1 Sr 0.500 0.750 0.250
2 Sr 0.500 0.250 0.750
3 Al 0.000 0.000 0.000
4 Zn 0.000 0.677 0.677
5 Zn 0.000 0.323 0.323
6 Au 0.000 0.734 0.266
7 Au 0.468 0.734 0.734
8 Au 0.000 0.266 0.734
9 Au 0.532 0.266 0.266

magnetic moment	0.0	μB per cell
energy	-3.04	eV per atom
formation energy from the elements	-510	meV/atom

Here is a relaxed Sr2AlZn3Au4 crystal from Alexandria. Energies are from PBE-GGA.

Lattice parameters (Å, degrees): 4.638 4.638 10.239 90.00 90.00 90.00
Positions (direct):
1 Sr 0.500 0.000 0.243
2 Sr 0.000 0.500 0.757
3 Al 0.500 0.500 0.500
4 Zn 0.000 0.000 0.500
5 Zn 0.500 0.000 0.875
6 Zn 0.000 0.500 0.125
7 Au 0.500 0.500 0.000
8 Au 0.000 0.000 0.000
9 Au 0.500 0.000 0.622
10 Au 0.000 0.500 0.378

magnetic moment	0.0	μB per cell
energy	-2.95	eV per atom
formation energy from the elements	-542	meV/atom

Here is a relaxed Sr3AlZn2Au6 crystal from Alexandria. Energies are from PBE-GGA.

Lattice parameters (Å, degrees): 6.433 6.433 8.406 90.00 90.00 120.00
Positions (direct):
1 Sr 0.333 0.667 0.647
2 Sr 0.667 0.333 0.353
3 Sr 0.000 0.000 0.000
4 Al 0.000 0.000 0.500
5 Zn 0.667 0.333 0.947
6 Zn 0.333 0.667 0.053
7 Au 0.641 0.821 0.301
8 Au 0.179 0.359 0.301
9 Au 0.179 0.821 0.301
10 Au 0.821 0.641 0.699
11 Au 0.359 0.179 0.699
12 Au 0.821 0.179 0.699

magnetic moment	0.0	μB per cell
energy	-3.07	eV per atom
formation energy from the elements	-485	meV/atom

Here is a relaxed SrAlZnAu3 crystal from Alexandria. Energies are from PBE-GGA.

Lattice parameters (Å, degrees): 6.664 6.758 7.015 118.79 90.00 90.00
Positions (direct):
1 Sr 0.750 0.285 0.570
2 Sr 0.250 0.715 0.430
3 Al 0.250 0.390 0.781
4 Al 0.750 0.610 0.219
5 Zn 0.250 0.977 0.954
6 Zn 0.750 0.023 0.046
7 Au 0.250 0.190 0.381
8 Au 0.000 0.286 0.000
9 Au 0.500 0.714 0.000
10 Au 0.500 0.286 0.000
11 Au 0.000 0.714 0.000
12 Au 0.750 0.810 0.619

magnetic moment	0.0	μB per cell
energy	-3.19	eV per atom
formation energy from the elements	-432	meV/atom

Here is a relaxed SrAlZnAu2 crystal from Alexandria. Energies are from PBE-GGA.

Lattice parameters (Å, degrees): 4.336 4.336 6.621 109.11 109.11 90.00
Positions (direct):
1 Sr 0.000 0.000 0.000
2 Al 0.750 0.250 0.500
3 Zn 0.250 0.750 0.500
4 Au 0.623 0.623 0.245
5 Au 0.377 0.377 0.755

magnetic moment	0.0	μB per cell
energy	-3.23	eV per atom
formation energy from the elements	-577	meV/atom